No. 1
A plane-wave DFT calculation with PBE-GGA was carried out for a relaxed structure of TbFeCu2Sb4.

Structure (POSCAR):
```
TbFeCu2Sb4
1.0
4.310 0.000 0.000
0.000 4.310 0.000
0.000 0.000 9.098
Tb Fe Cu Sb
1 1 2 4
direct
0.000 0.000 0.000 Tb
0.500 0.500 0.529 Fe
0.000 0.500 0.262 Cu
0.500 0.000 0.262 Cu
0.000 0.000 0.427 Sb
0.000 0.500 0.726 Sb
0.500 0.000 0.726 Sb
0.500 0.500 0.081 Sb
```

Properties
Total DFT energy (no corrections)   -4.70 eV/atom
SG   P4mm, No. 99
Total magnetic moment   2.800 Bohr magnetons per cell

---

No. 2
A plane-wave DFT calculation with PBE-GGA was carried out for a relaxed structure of DyHo2Sn3PdPt2.

Structure (POSCAR):
```
DyHo2Sn3PdPt2
1.0
3.995 0.000 0.000
0.000 6.519 3.763
0.000 -6.519 3.763
Dy Ho Sn Pd Pt
1 2 3 1 2
direct
0.000 0.000 0.000 Dy
0.000 0.185 0.592 Ho
0.000 0.592 0.185 Ho
0.500 0.334 0.334 Sn
0.500 0.592 0.851 Sn
0.500 0.851 0.592 Sn
0.000 0.592 0.592 Pd
0.500 0.259 0.926 Pt
0.500 0.926 0.259 Pt
```

Properties
Total DFT energy (no corrections)   -5.83 eV/atom
SG   Amm2, No. 38
Total magnetic moment   0.002 Bohr magnetons per cell

---

No. 3
A plane-wave DFT calculation with PBE-GGA was carried out for a relaxed structure of Na2Li2ZnTeO6.

Structure (POSCAR):
```
Na2Li2ZnTeO6
1.0
2.658 -4.558 0.000
2.658 4.558 0.000
-1.635 0.000 5.123
Na Li Zn Te O
2 2 1 1 6
direct
0.000 0.000 0.000 Na
0.683 0.317 0.000 Na
0.348 0.652 0.000 Li
0.830 0.170 0.500 Li
0.163 0.837 0.500 Zn
0.497 0.503 0.500 Te
0.137 0.451 0.273 O
0.259 0.270 0.717 O
0.428 0.124 0.294 O
0.549 0.863 0.727 O
0.730 0.741 0.283 O
0.876 0.572 0.706 O
```

Properties
ΔE to the lowest computed polymorph   0.00 eV/f.u.
Total DFT energy (no corrections)   -4.98 eV/atom
SG   C2, No. 5

---

No. 4
A plane-wave DFT calculation with PBE-GGA was carried out for a relaxed structure of HfTePO.

Structure (POSCAR):
```
HfTePO
1.0
4.988 0.000 0.000
0.000 4.988 0.000
0.000 0.000 5.323
Hf Te P O
2 2 2 2
direct
0.250 0.750 0.000 Hf
0.750 0.250 0.000 Hf
0.250 0.250 0.376 Te
0.750 0.750 0.624 Te
0.250 0.250 0.852 P
0.750 0.750 0.148 P
0.250 0.750 0.500 O
0.750 0.250 0.500 O
```

Properties
ΔE to the lowest computed polymorph   2.68 eV/f.u.
Total DFT energy (no corrections)   -6.42 eV/atom
SG   P4/nmm, No. 129
Total magnetic moment   0.001 Bohr magnetons per cell